(1)
Crystalline Al2HgPd at its relaxed geometry. Source: the Alexandria database, functional PBE.

Computed properties:
- Crystal system: trigonal
- Electronic total energy: -3.418 eV per atom
- Total magnetization: 0.00 Bohr magnetons per cell
- ΔH_f (0 K): -172.6 meV per atom

Lattice parameters (Å, degrees): 3.5421 3.5421 21.1836 90.00 90.00 120.00
With the nearest neighbours (Å) after each atom.
Space group R3m (No. 160, hexagonal axes)
One atom of each set of equivalent atoms:
Al 0.0000 0.0000 0.0000  3 Pd 2.51
Al 0.0000 0.0000 0.1895  3 Pd 2.59, 3 Hg 2.86
Hg 0.0000 0.0000 0.7618  6 Al 2.86-2.87
Pd 0.0000 0.0000 0.5982  6 Al 2.51-2.59

(2)
Crystalline AlHgPd3 at its relaxed geometry. Source: the Alexandria database, functional PBE.

Computed properties:
- Crystal system: cubic
- ΔE to the lowest computed polymorph: 848 meV/atom
- Electronic total energy: -3.039 eV per atom
- Total magnetization: 0.00 Bohr magnetons per cell
- ΔH_f (0 K): 885.6 meV per atom

Lattice parameters (Å, degrees): 5.0120 5.0120 5.0120 90.00 90.00 90.00
With the nearest neighbours (Å) after each atom.
Space group Pm-3m (No. 221)
One atom of each set of equivalent atoms:
Al 0.0000 0.0000 0.0000  12 Pd 3.54
Hg 0.5000 0.5000 0.5000  6 Pd 2.51
Pd 0.0000 0.5000 0.5000  2 Hg 2.51

(3)
Crystalline Al2Hg5Pd12 at its relaxed geometry. Source: the Alexandria database, functional PBE.

Computed properties:
- Crystal system: monoclinic
- Electronic total energy: -4.014 eV per atom
- Total magnetization: 0.00 Bohr magnetons per cell
- ΔH_f (0 K): -261.2 meV per atom

Lattice parameters (Å, degrees): 13.0425 7.6980 6.5047 90.00 91.19 90.00
With the nearest neighbours (Å) after each atom.
Space group C2/m (No. 12)
One atom of each set of equivalent atoms:
Al 0.0000 0.2168 0.0000  8 Pd 2.57-2.75
Hg 0.0000 0.5000 0.5000  10 Pd 2.77-2.99
Hg 0.2016 0.0000 0.9789  8 Pd 2.83-3.02, 1 Hg 2.98, 2 Al 3.12
Hg 0.2433 0.5000 0.5746  10 Pd 2.83-3.01, 1 Hg 2.98
Pd 0.0473 0.0000 0.2880  2 Al 2.57, 4 Pd 2.68-2.76, 2 Hg 2.86-2.87
Pd 0.0892 0.5000 0.8904  2 Al 2.58, 5 Pd 2.75-2.81, 2 Hg 2.77-2.84
Pd 0.1171 0.2015 0.6531  4 Pd 2.68-2.96, 1 Al 2.75, 4 Hg 2.83-2.92
Pd 0.1496 0.3105 0.2409  1 Al 2.58, 3 Pd 2.76-2.85, 2 Hg 2.84-2.87

(4)
Crystalline AlHgPd5 at its relaxed geometry. Source: the Alexandria database, functional PBE.

Computed properties:
- Crystal system: monoclinic
- ΔE to the lowest computed polymorph: 117 meV/atom
- Electronic total energy: -4.517 eV per atom
- Total magnetization: 0.00 Bohr magnetons per cell
- ΔH_f (0 K): -229.8 meV per atom

Lattice parameters (Å, degrees): 9.2292 5.6362 9.0501 90.00 90.17 90.00
With the nearest neighbours (Å) after each atom.
Space group C2/c (No. 15)
One atom of each set of equivalent atoms:
Al 0.0000 0.1406 0.2500  3 Pd 2.32-2.37
Hg 0.0000 0.5000 0.0000  2 Pd 2.61
Pd 0.0000 0.2706 0.7500  1 Al 2.32
Pd 0.1477 0.0244 0.0041  4 Pd 2.69-3.01, 2 Al 2.69-2.83, 1 Hg 3.01
Pd 0.2144 0.3736 0.2512  1 Al 2.37

(5)
Crystalline AlHg2Pd5 at its relaxed geometry. Source: the Alexandria database, functional PBE.

Computed properties:
- Crystal system: tetragonal
- Electronic total energy: -4.160 eV per atom
- Total magnetization: 0.00 Bohr magnetons per cell
- ΔH_f (0 K): -371.5 meV per atom

Lattice parameters (Å, degrees): 4.2504 4.2504 14.6312 90.00 90.00 90.00
With the nearest neighbours (Å) after each atom.
Space group I4/mmm (No. 139)
One atom of each set of equivalent atoms:
Al 0.0000 0.0000 0.0000  12 Pd 2.70-3.01
Hg 0.0000 0.0000 0.2528  8 Pd 2.88-2.94, 4 Hg 3.01
Pd 0.0000 0.0000 0.5000  8 Pd 2.70, 4 Al 3.01
Pd 0.0000 0.5000 0.1142  2 Al 2.70, 6 Pd 2.70-3.01, 4 Hg 2.88-2.94

(6)
Crystalline AlHgPd3 at its relaxed geometry. Source: the Alexandria database, functional PBE.

Computed properties:
- Crystal system: cubic
- ΔE to the lowest computed polymorph: 0 meV/atom
- Electronic total energy: -3.887 eV per atom
- Total magnetization: 0.00 Bohr magnetons per cell
- ΔH_f (0 K): 37.2 meV per atom

Lattice parameters (Å, degrees): 4.5886 4.5886 4.5886 90.00 90.00 90.00
With the nearest neighbours (Å) after each atom.
Space group Pm-3m (No. 221)
One atom of each set of equivalent atoms:
Al 0.0000 0.0000 0.0000  6 Pd 2.29
Hg 0.5000 0.5000 0.5000  12 Pd 3.24
Pd 0.0000 0.0000 0.5000  2 Al 2.29

(7)
Crystalline Al2HgPd at its relaxed geometry. Source: the Alexandria database, functional PBE.

Computed properties:
- Crystal system: tetragonal
- Electronic total energy: -3.291 eV per atom
- Total magnetization: 0.00 Bohr magnetons per cell
- ΔH_f (0 K): -45.7 meV per atom

Lattice parameters (Å, degrees): 7.6281 7.6281 5.4052 90.00 90.00 90.00
With the nearest neighbours (Å) after each atom.
Space group I-42d (No. 122)
One atom of each set of equivalent atoms:
Al 0.1996 0.2500 0.1250  2 Pd 2.53, 2 Al 2.81
Hg 0.0000 0.0000 0.5000  2 Pd 2.70
Pd 0.0000 0.0000 0.0000  4 Al 2.53, 2 Hg 2.70

(8)
Crystalline AlHgPd5 at its relaxed geometry. Source: the Alexandria database, functional PBE.

Computed properties:
- Crystal system: tetragonal
- ΔE to the lowest computed polymorph: 0 meV/atom
- Electronic total energy: -4.634 eV per atom
- Total magnetization: 0.00 Bohr magnetons per cell
- ΔH_f (0 K): -347.3 meV per atom

Lattice parameters (Å, degrees): 4.0874 4.0874 6.9789 90.00 90.00 90.00
With the nearest neighbours (Å) after each atom.
Space group P4/mmm (No. 123)
One atom of each set of equivalent atoms:
Al 0.0000 0.0000 0.0000  8 Pd 2.50
Hg 0.5000 0.5000 0.5000  12 Pd 2.89
Pd 0.0000 0.0000 0.5000  8 Pd 2.89, 4 Hg 2.89
Pd 0.0000 0.5000 0.2075  2 Al 2.50

(9)
Crystalline AlHg3Pd at its relaxed geometry. Source: the Alexandria database, functional PBE.

Computed properties:
- Crystal system: cubic
- ΔE to the lowest computed polymorph: 197 meV/atom
- Electronic total energy: -1.477 eV per atom
- Total magnetization: 0.00 Bohr magnetons per cell
- ΔH_f (0 K): 491.6 meV per atom

Lattice parameters (Å, degrees): 5.1196 5.1196 5.1196 90.00 90.00 90.00
With the nearest neighbours (Å) after each atom.
Space group Pm-3m (No. 221)
One atom of each set of equivalent atoms:
Al 0.0000 0.0000 0.0000  6 Hg 2.56
Hg 0.0000 0.0000 0.5000  2 Al 2.56
Pd 0.5000 0.5000 0.5000  12 Hg 3.62

(10)
Crystalline Al2Hg2Pd at its relaxed geometry. Source: the Alexandria database, functional PBE.

Computed properties:
- Crystal system: tetragonal
- ΔE to the lowest computed polymorph: 0 meV/atom
- Electronic total energy: -2.714 eV per atom
- Total magnetization: 0.00 Bohr magnetons per cell
- ΔH_f (0 K): -57.4 meV per atom

Lattice parameters (Å, degrees): 6.7396 6.7396 4.2726 90.00 90.00 90.00
With the nearest neighbours (Å) after each atom.
Space group P4/mbm (No. 127)
One atom of each set of equivalent atoms:
Al 0.1460 0.3540 0.0000  2 Pd 2.58, 2 Hg 2.77, 1 Al 2.78
Hg 0.1686 0.6686 0.5000  6 Al 2.77-3.01
Pd 0.0000 0.0000 0.0000  4 Al 2.58